Compound: Pr2Nd8Th3
Source: Alexandria
Functional: PBE
Structure: relaxed

Output
- magnetization (μB per cell) = 0.00
- density of states at the Fermi level (states/eV per cell) = 20.47
- ρ (g cm⁻³) = 7.69
- total DFT energy (no corrections) (eV/atom) = -5.143

Cell: 7.5278 7.5278 8.8452 Å, 105.22 105.22 94.70°
Element x y z (fractional)
Pr (0.2281, 0.2281, 0.0358)
Pr (0.7719, 0.7719, 0.9642)
Nd (0.0803, 0.5962, 0.3188)
Nd (0.0948, 0.0948, 0.3512)
Nd (0.4032, 0.4032, 0.7835)
Nd (0.4038, 0.9197, 0.6812)
Nd (0.5962, 0.0803, 0.3188)
Nd (0.5968, 0.5968, 0.2165)
Nd (0.9052, 0.9052, 0.6488)
Nd (0.9197, 0.4038, 0.6812)
Th (0.2379, 0.7621, 0.0000)
Th (0.5000, 0.5000, 0.5000)
Th (0.7621, 0.2379, 0.0000)


Compound: InReSi2
Source: Alexandria
Functional: PBE
Structure: relaxed

Output
- magnetization (μB per cell) = 0.00
- density of states at the Fermi level (states/eV per cell) = 1.92
- ρ (g cm⁻³) = 8.82
- total DFT energy (no corrections) (eV/atom) = -6.254
- formation energy from raw total energies (eV/atom) = 0.254

Cell: 4.4516 4.4516 5.0883 Å, 96.50 96.50 42.20°
Element x y z (fractional)
In (0.0000, 0.0000, 0.0000)
Re (0.5000, 0.5000, 0.5000)
Si (0.2273, 0.2273, 0.6799)
Si (0.7727, 0.7727, 0.3201)


Compound: CaPb4
Source: Alexandria
Functional: PBE
Structure: relaxed

Output
- magnetization (μB per cell) = 0.00
- density of states at the Fermi level (states/eV per cell) = 4.12
- ρ (g cm⁻³) = 9.32
- total DFT energy (no corrections) (eV/atom) = -3.568
- ΔE to the lowest computed polymorph (meV/atom) = 0

Cell: 4.9239 6.2206 10.9851 Å, 87.05 89.81 67.13°
Element x y z (fractional)
Ca (0.2496, 0.0007, 0.2500)
Ca (0.7504, 0.9993, 0.7500)
Pb (0.0488, 0.3935, 0.8515)
Pb (0.1505, 0.1973, 0.5475)
Pb (0.3498, 0.8025, 0.9526)
Pb (0.4518, 0.6053, 0.6484)
Pb (0.5482, 0.3947, 0.3516)
Pb (0.6502, 0.1975, 0.0474)
Pb (0.8495, 0.8027, 0.4525)
Pb (0.9512, 0.6065, 0.1485)